(1)
3
Lattice="-1.9964 1.9964 7.1598 1.9964 -1.9964 7.1598 1.9964 1.9964 -7.1598" Properties=species:S:1:pos:R:3 comment="Sr2Ag | the Alexandria database | PBE | optimized geometry" formation_enthalpy_0k_ev_per_atom=-0.184 e_above_lowest_polymorph_mev_per_atom=30 final_energy_ev_per_atom=-2.2559 dos_ef_per_ev_cell=3.087 crystal_system=tetragonal pbc="T T T"
Sr 0.0000 0.0000 1.9160
Sr 0.0000 0.0000 12.4036
Ag 0.0000 0.0000 7.1598

(2)
4
Lattice="5.5243 0.0000 0.0000 -2.7621 4.7842 0.0000 0.0000 0.0000 6.4863" Properties=species:S:1:pos:R:3 comment="SrAg | the Alexandria database | PBE | optimized geometry" formation_enthalpy_0k_ev_per_atom=0.013 final_energy_ev_per_atom=-2.2534 dos_ef_per_ev_cell=2.493 crystal_system=hexagonal pbc="T T T"
Sr 0.0000 3.1894 1.6216
Sr 2.7621 1.5947 4.8647
Ag 0.0000 3.1894 4.8647
Ag 2.7621 1.5947 1.6216

(3)
4
Lattice="2.7067 1.5627 4.4299 -2.7067 1.5627 4.4299 0.0000 -3.1254 4.4299" Properties=species:S:1:pos:R:3 comment="SrAg | the Alexandria database | PBE | optimized geometry" formation_enthalpy_0k_ev_per_atom=0.001 final_energy_ev_per_atom=-2.2656 dos_ef_per_ev_cell=4.521 crystal_system=trigonal pbc="T T T"
Sr 0.0000 0.0000 1.6578
Sr 0.0000 0.0000 11.6319
Ag 0.0000 0.0000 4.9781
Ag 0.0000 0.0000 8.3116

(4)
4
Lattice="2.3914 1.3806 5.1819 -2.3914 1.3806 5.1819 0.0000 -2.7613 5.1819" Properties=species:S:1:pos:R:3 comment="SrAg3 | the Alexandria database | PBE | optimized geometry" formation_enthalpy_0k_ev_per_atom=-0.182 final_energy_ev_per_atom=-2.7408 dos_ef_per_ev_cell=1.567 crystal_system=trigonal pbc="T T T"
Sr 0.0000 0.0000 0.0000
Ag 0.0000 0.0000 3.1898
Ag 0.0000 0.0000 7.7728
Ag 0.0000 0.0000 12.3558

(5)
6
Lattice="-2.2551 6.3831 3.4121 2.2551 -6.3831 3.4121 2.2551 6.3831 -3.4121" Properties=species:S:1:pos:R:3 comment="SrAg | the Alexandria database | PBE | optimized geometry" formation_enthalpy_0k_ev_per_atom=-0.180 final_energy_ev_per_atom=-2.4462 dos_ef_per_ev_cell=3.375 crystal_system=orthorhombic pbc="T T T"
Sr 0.0000 0.0000 0.0000
Sr 2.2551 -2.5214 2.0727
Sr 2.2551 2.5214 2.0727
Ag 0.0000 0.0000 3.4859
Ag 0.0000 4.9261 1.6905
Ag 0.0000 7.8401 1.6905

(6)
6
Lattice="-1.9698 1.9698 15.1667 1.9698 -1.9698 15.1667 1.9698 1.9698 -15.1667" Properties=species:S:1:pos:R:3 comment="Sr2Ag | the Alexandria database | PBE | optimized geometry" formation_enthalpy_0k_ev_per_atom=-0.129 e_above_lowest_polymorph_mev_per_atom=86 final_energy_ev_per_atom=-2.2003 dos_ef_per_ev_cell=6.962 crystal_system=tetragonal pbc="T T T"
Sr 1.9698 0.9849 1.8657
Sr 1.9698 0.9849 5.7176
Sr 0.0000 0.9849 9.4491
Sr 0.0000 0.9849 13.3010
Ag 1.9698 -0.9849 11.3750
Ag 0.0000 2.9546 3.7917

(7)
4
Lattice="3.7362 0.0000 0.0000 0.0000 3.7362 0.0000 0.0000 0.0000 6.7888" Properties=species:S:1:pos:R:3 comment="SrAg3 | the Alexandria database | PBE | optimized geometry" formation_enthalpy_0k_ev_per_atom=-0.091 final_energy_ev_per_atom=-2.6499 dos_ef_per_ev_cell=1.032 crystal_system=tetragonal pbc="T T T"
Sr 0.0000 0.0000 0.0000
Ag 0.0000 0.0000 3.3944
Ag 1.8681 1.8681 2.0032
Ag 1.8681 1.8681 4.7856

(8)
4
Lattice="4.7289 2.7302 1.2788 -4.7289 2.7302 1.2788 0.0000 -5.4604 1.2788" Properties=species:S:1:pos:R:3 comment="SrAg3 | the Alexandria database | PBE | optimized geometry" formation_enthalpy_0k_ev_per_atom=0.089 final_energy_ev_per_atom=-2.4702 dos_ef_per_ev_cell=1.335 crystal_system=trigonal pbc="T T T"
Sr 0.0000 0.0000 0.0000
Ag -2.3644 -1.3651 1.2788
Ag -2.3644 1.3651 2.5576
Ag 0.0000 2.7302 1.2788

Copy entry 1 word for word.
3
Lattice="-1.9964 1.9964 7.1598 1.9964 -1.9964 7.1598 1.9964 1.9964 -7.1598" Properties=species:S:1:pos:R:3 comment="Sr2Ag | the Alexandria database | PBE | optimized geometry" formation_enthalpy_0k_ev_per_atom=-0.184 e_above_lowest_polymorph_mev_per_atom=30 final_energy_ev_per_atom=-2.2559 dos_ef_per_ev_cell=3.087 crystal_system=tetragonal pbc="T T T"
Sr 0.0000 0.0000 1.9160
Sr 0.0000 0.0000 12.4036
Ag 0.0000 0.0000 7.1598